# 1
First-principles (PBE-GGA) data for a relaxed structure of BaTaW2, as listed in Alexandria via LeMat-Bulk.

## Properties
DFT formation energy	0.75	eV/atom
energy above the most stable polymorph in this dataset	0.0	meV per atom
energy	-36.7	eV per cell
total magnetic moment	0.00	μB/f.u.

The structure in POSCAR format:
```
BaTaW2
1.0
3.2549 0.0000 0.0000
0.0000 3.2549 0.0000
0.0000 0.0000 8.5710
Ba W Ta
1 2 1
Cartesian
0.0000 0.0000 4.1807 Ba
1.6274 1.6274 1.4784 W
0.0000 0.0000 0.0876 W
1.6274 1.6274 7.1099 Ta
```

---

# 2
First-principles (PBE-GGA) data for a relaxed structure of Ca2CrBr2, as listed in Alexandria via LeMat-Bulk.

## Properties
energy above the most stable polymorph in this dataset	0.0	meV per atom
energy	-19.9	eV per cell
energy relative to the elements, uncorrected	-0.59	eV/atom
total magnetic moment	5.06	μB/f.u.

The structure in POSCAR format:
```
Ca2CrBr2
1.0
-1.0078 -1.9896 -4.2880
4.6684 -1.1079 -0.5832
0.7415 -7.7969 0.7193
Ca Br Cr
2 2 1
Cartesian
2.8502 -7.7478 -2.5231 Ca
1.5518 -3.1466 -1.6288 Ca
3.6201 -5.2268 -1.1497 Br
0.7820 -5.6676 -3.0021 Br
0.0000 0.0000 0.0000 Cr
```

---

# 3
First-principles (PBE-GGA) data for a relaxed structure of ZnPt2Cl, as listed in Alexandria via LeMat-Bulk.

## Properties
energy above the most stable polymorph in this dataset	387.0	meV per atom
energy	-14.0	eV per cell
energy relative to the elements, uncorrected	0.30	eV/atom
total magnetic moment	0.00	μB/f.u.

The structure in POSCAR format:
```
ZnPt2Cl
1.0
4.8284 0.0007 0.0000
-1.4330 4.6109 0.0000
0.0000 0.0000 2.8828
Pt Zn Cl
2 1 1
Cartesian
1.6977 2.3058 0.0000 Pt
0.0000 0.0000 0.0000 Pt
2.4142 0.0003 1.4414 Zn
-0.7165 2.3054 1.4414 Cl
```

---

# 4
First-principles (PBE-GGA) data for a relaxed structure of KAlTlNi2, as listed in Alexandria via LeMat-Bulk.

## Properties
DFT formation energy	1.11	eV/atom
energy	-13.2	eV per cell
total magnetic moment	0.00	μB/f.u.

The structure in POSCAR format:
```
KAlTlNi2
1.0
4.9404 0.0000 0.0000
0.0000 5.8736 0.0000
0.0000 0.0000 4.9404
Tl K Al Ni
1 1 1 2
Cartesian
0.0000 0.0000 0.0000 Tl
0.0000 2.9368 0.0000 K
2.4702 2.9368 2.4702 Al
2.4702 0.0000 0.0000 Ni
0.0000 0.0000 2.4702 Ni
```

---

# 5
First-principles (PBE-GGA) data for a relaxed structure of NaCoW2Cl, as listed in Alexandria via LeMat-Bulk.

## Properties
energy	-28.7	eV per cell
energy relative to the elements, uncorrected	1.49	eV/atom
total magnetic moment	2.97	μB/f.u.

The structure in POSCAR format:
```
NaCoW2Cl
1.0
4.4882 0.0000 0.0000
0.0000 5.5967 0.0000
0.0000 0.0000 4.4882
Cl W Na Co
1 2 1 1
Cartesian
0.0000 2.7983 0.0000 Cl
2.2441 0.0000 0.0000 W
0.0000 0.0000 2.2441 W
2.2441 2.7983 2.2441 Na
0.0000 0.0000 0.0000 Co
```

---

# 6
First-principles (PBE-GGA) data for a relaxed structure of Ba2CaMgPt, as listed in Alexandria via LeMat-Bulk.

## Properties
DFT formation energy	-0.36	eV/atom
energy above the most stable polymorph in this dataset	0.0	meV per atom
energy	-15.3	eV per cell
total magnetic moment	0.00	μB/f.u.

The structure in POSCAR format:
```
Ba2CaMgPt
1.0
6.2079 0.0000 0.0000
0.0000 6.2079 0.0000
0.0000 0.0000 5.6158
Ba Mg Pt Ca
2 1 1 1
Cartesian
0.0000 3.1040 0.0000 Ba
3.1040 0.0000 0.0000 Ba
3.1040 3.1040 2.8079 Mg
0.0000 0.0000 0.0000 Pt
0.0000 0.0000 2.8079 Ca
```

---

# 7
First-principles (PBE-GGA) data for a relaxed structure of Tb4Bi3C, as listed in Alexandria via LeMat-Bulk.

## Properties
DFT formation energy	-0.42	eV/atom
energy	-85.5	eV per cell
total magnetic moment	0.00	μB/f.u.

The structure in POSCAR format:
```
Tb4Bi3C
1.0
6.3150 0.0000 0.0000
0.0000 9.6772 0.0000
0.0000 0.0000 8.5699
Tb Bi C
8 6 2
Cartesian
3.6077 6.5820 2.3586 Tb
0.3928 9.3093 0.0000 Tb
3.6077 6.5820 6.2112 Tb
3.5503 0.3678 4.2849 Tb
3.9731 1.9631 0.0000 Tb
0.4502 3.0952 1.9263 Tb
0.4502 3.0952 6.6436 Tb
0.8156 7.7141 4.2849 Tb
3.5618 3.4198 5.8951 Bi
0.4042 6.2574 1.6102 Bi
3.5618 3.4198 2.6747 Bi
0.3567 0.9866 4.2849 Bi
3.5142 8.6906 0.0000 Bi
0.4042 6.2574 6.9597 Bi
6.2950 1.9204 0.0000 C
3.1375 7.7568 4.2849 C
```

---

# 8
First-principles (PBE-GGA) data for a relaxed structure of Cs2CdGaSe, as listed in Alexandria via LeMat-Bulk.

## Properties
energy above the most stable polymorph in this dataset	25.7	meV per atom
energy	-9.1	eV per cell
energy relative to the elements, uncorrected	0.01	eV/atom
total magnetic moment	1.08	μB/f.u.

The structure in POSCAR format:
```
Cs2CdGaSe
1.0
7.3456 0.0000 0.0000
0.0000 5.1809 0.0000
0.0000 0.0000 7.3456
Se Cs Ga Cd
1 2 1 1
Cartesian
0.0000 2.5905 0.0000 Se
0.0000 0.0000 3.6728 Cs
3.6728 0.0000 0.0000 Cs
3.6728 2.5905 3.6728 Ga
0.0000 0.0000 0.0000 Cd
```

---

# 9
First-principles (PBE-GGA) data for a relaxed structure of Ti2SbC, as listed in Alexandria via LeMat-Bulk.

## Properties
energy	-31.7	eV per cell
energy relative to the elements, uncorrected	-0.65	eV/atom
total magnetic moment	0.00	μB/f.u.

The structure in POSCAR format:
```
Ti2SbC
1.0
-3.0719 0.0307 1.0924
1.6831 -2.7536 -0.0554
2.1445 3.0157 5.9457
Sb C Ti
1 1 2
Cartesian
-0.6944 -1.3615 0.5185 Sb
1.9138 0.1310 2.9452 C
0.7788 -0.5717 4.6390 Ti
-0.0231 0.8644 2.3437 Ti
```

---

# 10
First-principles (PBE-GGA) data for a relaxed structure of BaNaAlTl2, as listed in Alexandria via LeMat-Bulk.

## Properties
DFT formation energy	0.16	eV/atom
energy	-10.9	eV per cell
total magnetic moment	0.00	μB/f.u.

The structure in POSCAR format:
```
BaNaAlTl2
1.0
5.4818 0.0000 0.0000
0.0000 6.3149 0.0000
0.0000 0.0000 5.4818
Al Na Ba Tl
1 1 1 2
Cartesian
0.0000 0.0000 0.0000 Al
2.7409 3.1574 2.7409 Na
0.0000 3.1574 0.0000 Ba
0.0000 0.0000 2.7409 Tl
2.7409 0.0000 0.0000 Tl
```

---

# 11
First-principles (PBE-GGA) data for a relaxed structure of ErTmMgSn, as listed in Alexandria via LeMat-Bulk.

## Properties
DFT formation energy	-0.36	eV/atom
energy	-16.1	eV per cell
total magnetic moment	0.00	μB/f.u.

The structure in POSCAR format:
```
ErTmMgSn
1.0
-2.6971 -4.2763 -1.3989
1.3424 -4.6928 1.9217
-3.1084 -2.3957 3.4809
Tm Er Mg Sn
1 1 1 1
Cartesian
0.0000 0.0000 0.0000 Tm
-2.2315 -5.6824 2.0018 Er
-3.3473 -8.5236 3.0027 Mg
-1.1158 -2.8412 1.0009 Sn
```

---

# 12
First-principles (PBE-GGA) data for a relaxed structure of La14DyHg, as listed in Alexandria via LeMat-Bulk.

## Properties
DFT formation energy	-0.05	eV/atom
energy	-74.6	eV per cell
total magnetic moment	0.00	μB/f.u.

The structure in POSCAR format:
```
La14DyHg
1.0
-2.4026 -4.4816 -5.2462
5.7791 1.7324 -4.1208
5.3823 -7.8555 4.2457
La Dy Hg
14 1 1
Cartesian
5.9453 -0.9081 -3.2859 La
2.0607 -4.1544 -3.7334 La
4.2368 -6.7793 -5.1126 La
8.8339 -5.1240 -1.0073 La
5.4242 -4.5088 -2.4170 La
2.4974 -5.3631 -0.2872 La
-0.0807 -1.4630 -2.6046 La
3.1934 -1.8399 -1.2077 La
4.6826 -7.9810 -1.6652 La
1.2421 -7.6852 -2.9922 La
7.6081 -7.2133 -3.6327 La
5.9502 -5.8633 0.9669 La
4.8514 -3.1898 -5.8072 La
1.5144 -2.7617 -7.0297 La
-1.3631 -3.6921 -5.1032 Dy
2.7091 -0.5992 -4.5431 Hg
```

---

# 13
First-principles (PBE-GGA) data for a relaxed structure of Li2TbY2Ga2, as listed in Alexandria via LeMat-Bulk.

## Properties
DFT formation energy	-0.29	eV/atom
energy	-29.5	eV per cell
total magnetic moment	0.00	μB/f.u.

The structure in POSCAR format:
```
Li2TbY2Ga2
1.0
-0.7621 -4.4313 0.9283
3.0470 -2.3847 2.4715
-3.4969 0.0243 8.5990
Y Tb Li Ga
2 1 2 2
Cartesian
-1.8915 -0.8414 5.7845 Y
0.6795 -5.9503 6.2142 Y
0.0000 0.0000 0.0000 Tb
0.7131 -4.1071 3.6869 Li
-1.9250 -2.6846 8.3119 Li
-0.1477 -1.7817 2.7274 Ga
-1.0643 -5.0101 9.2713 Ga
```

---

# 14
First-principles (PBE-GGA) data for a relaxed structure of MgMn2Si, as listed in Alexandria via LeMat-Bulk.

## Properties
energy	-25.2	eV per cell
energy relative to the elements, uncorrected	0.05	eV/atom
total magnetic moment	2.00	μB/f.u.

The structure in POSCAR format:
```
MgMn2Si
1.0
4.1931 0.0000 0.0000
2.0966 3.6313 0.0000
2.0966 1.2104 3.4237
Si Mg Mn
1 1 2
Cartesian
6.2897 3.6313 2.5677 Si
4.1931 2.4209 1.7118 Mg
0.0000 0.0000 0.0000 Mn
2.0966 1.2104 0.8559 Mn
```

---

# 15
First-principles (PBE-GGA) data for a relaxed structure of Zn6CdRh5, as listed in Alexandria via LeMat-Bulk.

## Properties
DFT formation energy	-0.37	eV/atom
energy	-49.8	eV per cell
total magnetic moment	0.00	μB/f.u.

The structure in POSCAR format:
```
Zn6CdRh5
1.0
4.1066 0.0034 -1.2635
-0.6806 5.7645 -2.1966
0.0442 -0.4978 7.4474
Rh Zn Cd
5 6 1
Cartesian
0.8714 4.5276 2.8441 Rh
1.1644 1.5812 3.7886 Rh
-0.3403 2.8822 -1.0983 Rh
2.5988 0.7424 1.1431 Rh
2.3057 3.6889 0.1986 Rh
0.1111 5.0832 0.3748 Zn
3.0358 2.9239 2.5694 Zn
3.3590 0.1869 3.6124 Zn
0.4343 2.3462 1.4178 Zn
1.5590 4.1881 -2.2270 Zn
1.8669 1.5798 -1.2331 Zn
0.0000 0.0000 0.0000 Cd
```

---

# 16
First-principles (PBE-GGA) data for a relaxed structure of Sc3TaO, as listed in Alexandria via LeMat-Bulk.

## Properties
energy above the most stable polymorph in this dataset	0.0	meV per atom
energy	-41.0	eV per cell
energy relative to the elements, uncorrected	-1.03	eV/atom
total magnetic moment	0.41	μB/f.u.

The structure in POSCAR format:
```
Sc3TaO
1.0
4.4356 0.0000 0.0000
0.0000 4.4356 0.0000
0.0000 0.0000 4.4356
Sc Ta O
3 1 1
Cartesian
0.0000 2.2178 0.0000 Sc
2.2178 0.0000 0.0000 Sc
0.0000 0.0000 2.2178 Sc
2.2178 2.2178 2.2178 Ta
0.0000 0.0000 0.0000 O
```

---

# 17
First-principles (PBE-GGA) data for a relaxed structure of YB2, as listed in Alexandria via LeMat-Bulk.

## Properties
DFT formation energy	-0.33	eV/atom
energy above the most stable polymorph in this dataset	237.2	meV per atom
energy	-20.8	eV per cell
total magnetic moment	0.33	μB/f.u.

The structure in POSCAR format:
```
YB2
1.0
-2.6307 2.1413 1.5979
-1.7185 0.3339 -3.3157
1.8871 -4.4303 1.9799
B Y
2 1
Cartesian
-1.9490 -1.3523 0.1356 B
-0.5130 -0.6028 0.1265 B
-2.1746 1.2376 -0.8589 Y
```

---

# 18
First-principles (PBE-GGA) data for a relaxed structure of PuTlIn2I6, as listed in Alexandria via LeMat-Bulk.

## Properties
energy	-38.8	eV per cell
energy relative to the elements, uncorrected	-0.74	eV/atom
total magnetic moment	5.00	μB/f.u.

The structure in POSCAR format:
```
PuTlIn2I6
1.0
-0.0869 8.5496 0.6163
-5.2976 4.6000 -4.9223
-7.1457 3.9442 3.9089
In I Tl Pu
2 6 1 1
Cartesian
-5.9341 8.5762 -0.5296 In
-6.9846 3.9576 3.7468 In
-6.1920 9.5522 2.7884 I
-4.8781 11.8967 -1.2399 I
-9.1816 9.7419 -0.1887 I
-7.6526 6.0000 1.0326 I
-2.9427 6.8249 0.2803 I
-6.9308 7.2487 -3.6757 I
-8.3236 12.9083 -1.3709 Tl
-1.9173 4.3726 -1.3123 Pu
```

---

# 19
First-principles (PBE-GGA) data for a relaxed structure of LaCuAs2, as listed in Alexandria via LeMat-Bulk.

## Properties
DFT formation energy	-0.64	eV/atom
energy	-20.9	eV per cell
total magnetic moment	0.00	μB/f.u.

The structure in POSCAR format:
```
LaCuAs2
1.0
4.5723 0.0000 0.0009
0.0000 4.3467 -0.0440
0.0009 0.0443 4.5711
As La Cu
2 1 1
Cartesian
0.0009 0.8961 3.9927 As
2.2864 0.8744 1.7032 As
2.2870 3.0611 3.9675 La
4.5726 1.7993 1.7002 Cu
```